[1]
Below is crystalline LaMo at its relaxed geometry, with properties calculated at the GGA-PBE level.

Density   6900 kg/m3
Formation energy   543.1 meV per atom
Offset from the most stable computed form   302 meV/atom

abc: 3.633 3.633 8.565
angles: 90.00 90.00 90.00
Sites, in units of the cell vectors:
La (0.250, 0.250, 0.312)
La (0.750, 0.750, 0.688)
Mo (0.250, 0.750, 0.000)
Mo (0.750, 0.250, 0.000)

[2]
Below is crystalline Cs2SiRhF6 at its relaxed geometry, with properties calculated at the GGA-PBE level.

Density   4451 kg/m3
Energy relative to the elements, uncorrected   -224.6 kJ/mol of atoms

abc: 5.997 5.997 6.786
angles: 63.78 63.78 90.00
Sites, in units of the cell vectors:
Cs (0.750, 0.250, 0.500)
Cs (0.250, 0.750, 0.500)
Si (0.500, 0.500, 0.000)
Rh (0.000, 0.000, 0.000)
F (0.338, 0.338, 0.323)
F (0.662, 0.662, 0.677)
F (0.296, 0.296, 0.000)
F (0.704, 0.704, 0.000)
F (0.704, 0.296, 0.000)
F (0.296, 0.704, 0.000)

[3]
Below is crystalline ZnTe2PI at its relaxed geometry, with properties calculated at the GGA-PBE level.

Density   5149 kg/m3
Energy relative to the elements, uncorrected   77.1 kJ/mol of atoms
Offset from the most stable computed form   306 meV/atom

abc: 5.368 5.368 5.355
angles: 90.00 90.00 90.00
Sites, in units of the cell vectors:
I (0.000, 0.000, 0.500)
P (0.500, 0.500, 0.500)
Zn (0.000, 0.000, 0.000)
Te (0.000, 0.500, 0.000)
Te (0.500, 0.000, 0.000)

[4]
Below is crystalline CeZr2Pt9 at its relaxed geometry, with properties calculated at the GGA-PBE level.

Density   16761 kg/m3
Formation energy   -1008.5 meV per atom

abc: 4.095 4.095 12.279
angles: 90.00 90.00 90.00
Sites, in units of the cell vectors:
Ce (0.000, 0.000, 0.000)
Zr (0.000, 0.000, 0.336)
Zr (0.000, 0.000, 0.664)
Pt (0.500, 0.500, 0.000)
Pt (0.500, 0.500, 0.338)
Pt (0.500, 0.500, 0.662)
Pt (0.500, 0.000, 0.174)
Pt (0.500, 0.000, 0.500)
Pt (0.500, 0.000, 0.826)
Pt (0.000, 0.500, 0.174)
Pt (0.000, 0.500, 0.500)
Pt (0.000, 0.500, 0.826)

[5]
Below is crystalline Ga2Cu2Au3 at its relaxed geometry, with properties calculated at the GGA-PBE level.

Density   12588 kg/m3
Formation energy   -96.3 meV per atom
Offset from the most stable computed form   0 meV/atom

abc: 3.455 5.653 6.358
angles: 106.09 90.00 107.79
Sites, in units of the cell vectors:
Ga (0.120, 0.239, 0.429)
Ga (0.880, 0.761, 0.571)
Cu (0.570, 0.141, 0.710)
Cu (0.430, 0.859, 0.290)
Au (0.276, 0.552, 0.829)
Au (0.000, 0.000, 0.000)
Au (0.724, 0.448, 0.171)

[6]
Below is crystalline TbPmErN3 at its relaxed geometry, with properties calculated at the GGA-PBE level.

Density   9122 kg/m3
Energy relative to the elements, uncorrected   -139.1 kJ/mol of atoms

abc: 3.496 6.024 9.060
angles: 101.69 90.00 90.00
Sites, in units of the cell vectors:
Tb (0.250, 0.769, 0.045)
Tb (0.750, 0.231, 0.955)
Pm (0.750, 0.654, 0.697)
Pm (0.250, 0.346, 0.303)
Er (0.250, 0.149, 0.639)
Er (0.750, 0.851, 0.361)
N (0.250, 0.755, 0.492)
N (0.750, 0.036, 0.156)
N (0.750, 0.540, 0.170)
N (0.750, 0.245, 0.508)
N (0.250, 0.460, 0.830)
N (0.250, 0.964, 0.844)